The following is a DFT calculation (PBE-GGA) of TbPrY4S8 after structural relaxation.

Output
* Fermi-level density of states: 8.450 states/eV/cell
* crystal system: trigonal
* total magnetic moment: 0.000 μB/f.u.
* formation energy from raw total energies: -1.935 eV/atom
* SG: No. 160

Lattice parameters (Å, degrees): 8.1233 8.1233 8.1285 60.02 60.02 60.00
Fractional positions:
S 0.7568 0.7568 0.2575
S 0.7844 0.2390 0.7377
S 0.2390 0.7844 0.7377
S 0.7570 0.7570 0.7289
S 0.2290 0.7568 0.2575
S 0.7568 0.2290 0.2575
S 0.2382 0.2382 0.2853
S 0.2390 0.2390 0.7377
Y 0.9990 0.9990 0.4990
Y 0.6250 0.6250 0.1251
Y 0.9990 0.5029 0.4990
Y 0.5029 0.9990 0.4990
Pr 0.3748 0.3748 0.8757
Tb 0.9992 0.9992 0.0024



The following is a DFT calculation (PBE-GGA) of KRbHg after structural relaxation.

Output
* ΔH_f (0 K): -145.4 meV per atom
* Fermi-level density of states: 1.801 states/eV/cell
* crystal system: tetragonal
* total magnetic moment: 0.000 μB/f.u.
* SG: No. 107

Lattice parameters (Å, degrees): 4.4805 4.4805 8.3689 105.53 105.53 90.00
Fractional positions:
Rb 0.0292 0.0292 0.0583
K 0.2981 0.2981 0.5961
Hg 0.6728 0.6728 0.3455



The following is a DFT calculation (PBE-GGA) of HfCdRh2 after structural relaxation.

Output
* ΔH_f (0 K): -681.4 meV per atom
* Fermi-level density of states: 0.158 states/eV/cell
* crystal system: tetragonal
* total magnetic moment: 0.000 μB/f.u.
* SG: No. 123

Lattice parameters (Å, degrees): 3.4856 4.3774 4.3774 90.00 90.00 90.00
Fractional positions:
Rh 0.0000 0.0000 0.5000
Rh 0.0000 0.5000 0.0000
Cd 0.5000 0.0000 0.0000
Hf 0.5000 0.5000 0.5000



The following is a DFT calculation (PBE-GGA) of Hf2Ti3H4 after structural relaxation.

Output
* Fermi-level density of states: 6.447 states/eV/cell
* crystal system: monoclinic
* total magnetic moment: 0.000 μB/f.u.
* SG: No. 12

Lattice parameters (Å, degrees): 2.8856 5.1072 7.5605 105.90 90.00 106.41
Fractional positions:
H 0.3525 0.7051 0.9537
H 0.9248 0.8497 0.3884
H 0.0752 0.1503 0.6116
H 0.6475 0.2949 0.0463
Ti 0.0000 0.0000 0.0000
Ti 0.6030 0.2061 0.3965
Ti 0.3970 0.7939 0.6035
Hf 0.2940 0.5879 0.2068
Hf 0.7060 0.4121 0.7932



The following is a DFT calculation (PBE-GGA) of Ca6BiPd2 after structural relaxation.

Output
* ΔH_f (0 K): -586.6 meV per atom
* Fermi-level density of states: 8.556 states/eV/cell
* crystal system: orthorhombic
* total magnetic moment: 0.000 μB/f.u.
* SG: No. 71

Lattice parameters (Å, degrees): 8.8984 8.8984 8.8984 104.34 113.69 110.52
Fractional positions:
Ca 0.2080 0.9703 0.7623
Ca 0.8912 0.1799 0.7113
Ca 0.1088 0.8201 0.2887
Ca 0.6916 0.6672 0.3589
Ca 0.5314 0.8201 0.7113
Ca 0.3084 0.3328 0.6411
Ca 0.7920 0.5543 0.7623
Ca 0.3084 0.6672 0.9756
Ca 0.6916 0.3328 0.0244
Ca 0.7920 0.0297 0.2377
Ca 0.2080 0.4457 0.2377
Ca 0.4686 0.1799 0.2887
Pd 0.6533 0.6533 0.0000
Pd 0.5000 0.1284 0.6284
Pd 0.3467 0.3467 0.0000
Pd 0.5000 0.8716 0.3716
Bi 0.0000 0.0000 0.0000
Bi 0.0000 0.5000 0.5000



The following is a DFT calculation (PBE-GGA) of BaTm2Te4 after structural relaxation.

Output
* crystal system: orthorhombic
* total magnetic moment: 0.000 μB/f.u.
* formation energy from raw total energies: -1.486 eV/atom
* SG: No. 63

Lattice parameters (Å, degrees): 4.4666 7.5916 15.2659 90.00 90.00 107.11
Fractional positions:
Tm 0.1343 0.2687 0.0660
Tm 0.1343 0.2687 0.4340
Tm 0.8657 0.7313 0.5660
Tm 0.8657 0.7313 0.9340
Te 0.2314 0.4629 0.8885
Te 0.7686 0.5371 0.3885
Te 0.7686 0.5371 0.1115
Te 0.0676 0.1353 0.2500
Te 0.9324 0.8647 0.7500
Te 0.5000 0.0000 0.5000
Te 0.2314 0.4629 0.6115
Te 0.5000 0.0000 0.0000
Ba 0.6111 0.2221 0.7500
Ba 0.3889 0.7779 0.2500



E values, unit eV per atom, following the record order: -6.81 -0.93 -7.07 -6.47 -3.51 -4.83.